# 1
Computed, not measured: a relaxed HfAl2Rh crystal at the GGA-PBE level of DFT.

ΔH_f (0 K)   -0.723 eV per atom
Electronic total energy   -221.47 eV per cell
Mass density   8.25 Mg/m³

Lattice parameters (Å, degrees): 5.251 6.724 15.301 90.00 90.00 90.00
Element x y z (fractional)
Rh 0.488 0.750 0.427
Hf 0.272 0.750 0.607
Al 0.546 0.449 0.715
Hf 0.772 0.250 0.893
Al 0.954 0.449 0.215
Al 0.268 0.050 0.967
Rh 0.207 0.250 0.326
Rh 0.293 0.250 0.826
Hf 0.959 0.750 0.358
Al 0.268 0.450 0.967
Rh 0.012 0.750 0.927
Al 0.954 0.051 0.215
Rh 0.707 0.750 0.174
Al 0.546 0.051 0.715
Hf 0.041 0.250 0.642
Rh 0.988 0.250 0.073
Hf 0.541 0.750 0.858
Al 0.732 0.950 0.033
Al 0.232 0.450 0.467
Al 0.768 0.550 0.533
Hf 0.459 0.250 0.142
Rh 0.793 0.750 0.674
Al 0.046 0.949 0.785
Al 0.454 0.949 0.285
Rh 0.512 0.250 0.573
Al 0.732 0.550 0.033
Al 0.768 0.950 0.533
Al 0.046 0.551 0.785
Hf 0.228 0.750 0.107
Al 0.232 0.050 0.467
Hf 0.728 0.250 0.393
Al 0.454 0.551 0.285


# 2
Computed, not measured: a relaxed As2RuBr crystal at the GGA-PBE level of DFT.

Electronic total energy   -18.22 eV per cell
E_form (uncorrected)   0.508 eV/atom
Excess energy over the best structure of this formula in the dataset   583 meV per atom
Mass density   7.25 Mg/m³

Lattice parameters (Å, degrees): 4.621 4.618 4.613 69.86 71.92 110.20
Element x y z (fractional)
As 0.000 0.000 0.000
Ru 0.500 0.500 0.000
As 0.500 0.000 0.500
Br 0.000 0.500 0.500


# 3
Computed, not measured: a relaxed Dy12Y6In crystal at the GGA-PBE level of DFT.

ΔH_f (0 K)   0.079 eV per atom
Electronic total energy   -95.25 eV per cell
Mass density   7.12 Mg/m³

Lattice parameters (Å, degrees): 8.462 8.462 8.462 88.94 88.94 88.94
Element x y z (fractional)
Y 0.258 0.095 0.703
In 0.000 0.000 0.000
Dy 0.987 0.813 0.640
Dy 0.813 0.640 0.987
Dy 0.187 0.360 0.013
Dy 0.539 0.434 0.779
Dy 0.640 0.987 0.813
Y 0.703 0.258 0.095
Dy 0.434 0.779 0.539
Dy 0.221 0.461 0.566
Y 0.905 0.297 0.742
Y 0.095 0.703 0.258
Dy 0.566 0.221 0.461
Y 0.742 0.905 0.297
Dy 0.461 0.566 0.221
Y 0.297 0.742 0.905
Dy 0.013 0.187 0.360
Dy 0.779 0.539 0.434
Dy 0.360 0.013 0.187


# 4
Computed, not measured: a relaxed La2MoPRu crystal at the GGA-PBE level of DFT.

ΔH_f (0 K)   0.257 eV per atom
Electronic total energy   -34.09 eV per cell
Mass density   6.17 Mg/m³

Lattice parameters (Å, degrees): 5.622 4.306 5.622 90.00 90.00 90.00
Element x y z (fractional)
P 0.000 0.000 0.000
Mo 0.500 0.500 0.500
Ru 0.000 0.500 0.000
La 0.500 0.000 0.000
La 0.000 0.000 0.500


# 5
Computed, not measured: a relaxed Zn3GeS crystal at the GGA-PBE level of DFT.

Electronic total energy   -10.81 eV per cell
E_form (uncorrected)   0.351 eV/atom
Excess energy over the best structure of this formula in the dataset   0 meV per atom
Mass density   4.70 Mg/m³

Lattice parameters (Å, degrees): 4.737 4.737 4.737 90.00 90.00 90.00
Element x y z (fractional)
Ge 0.000 0.000 0.000
Zn 0.000 0.000 0.500
S 0.500 0.500 0.500
Zn 0.500 0.000 0.000
Zn 0.000 0.500 0.000


# 6
Computed, not measured: a relaxed Cs2Rb5O crystal at the GGA-PBE level of DFT.

Electronic total energy   -13.93 eV per cell
E_form (uncorrected)   -0.304 eV/atom
Excess energy over the best structure of this formula in the dataset   6 meV per atom
Mass density   1.66 Mg/m³

Lattice parameters (Å, degrees): 9.821 9.821 9.837 104.47 104.47 120.36
Element x y z (fractional)
Rb 0.138 0.138 0.312
Rb 0.317 0.317 0.001
Rb 0.823 0.823 0.687
Cs 0.723 0.220 0.500
O 0.044 0.044 0.000
Cs 0.220 0.723 0.500
Rb 0.134 0.823 0.000
Rb 0.823 0.134 0.000


# 7
Computed, not measured: a relaxed Na3NpN3 crystal at the GGA-PBE level of DFT.

Electronic total energy   -89.34 eV per cell
E_form (uncorrected)   -0.399 eV/atom
Mass density   4.84 Mg/m³

Lattice parameters (Å, degrees): 7.013 7.013 6.916 119.56 119.56 58.16
Element x y z (fractional)
N 0.000 0.500 0.811
Np 0.230 0.230 0.980
N 0.965 0.965 0.215
Na 0.762 0.238 0.500
N 0.500 0.000 0.811
Na 0.238 0.762 0.500
Na 0.762 0.238 0.000
Na 0.238 0.762 0.000
Na 0.214 0.214 0.465
N 0.500 0.000 0.189
Na 0.786 0.786 0.535
N 0.035 0.035 0.785
N 0.000 0.500 0.189
Np 0.770 0.770 0.020


# 8
Computed, not measured: a relaxed TeSe3Cl crystal at the GGA-PBE level of DFT.

Electronic total energy   -12.17 eV per cell
E_form (uncorrected)   0.654 eV/atom
Excess energy over the best structure of this formula in the dataset   0 meV per atom
Mass density   4.18 Mg/m³

Lattice parameters (Å, degrees): 5.415 5.415 5.415 90.00 90.00 90.00
Element x y z (fractional)
Te 0.000 0.000 0.000
Se 0.000 0.500 0.000
Se 0.500 0.000 0.000
Cl 0.500 0.500 0.500
Se 0.000 0.000 0.500


# 9
Computed, not measured: a relaxed Be2Cl crystal at the GGA-PBE level of DFT.

Electronic total energy   -20.55 eV per cell
E_form (uncorrected)   -0.325 eV/atom
Excess energy over the best structure of this formula in the dataset   7 meV per atom
Mass density   1.77 Mg/m³

Lattice parameters (Å, degrees): 3.504 3.545 8.398 88.11 78.28 79.26
Element x y z (fractional)
Be 0.799 0.493 0.421
Cl 0.140 0.247 0.213
Cl 0.860 0.753 0.787
Be 0.722 0.995 0.579
Be 0.201 0.507 0.579
Be 0.278 0.005 0.421


# 10
Computed, not measured: a relaxed Zn2InBi crystal at the GGA-PBE level of DFT.

ΔH_f (0 K)   0.168 eV per atom
Electronic total energy   -8.50 eV per cell
Excess energy over the best structure of this formula in the dataset   22 meV per atom
Mass density   8.19 Mg/m³

Lattice parameters (Å, degrees): 3.663 3.663 6.868 90.00 90.00 90.00
Element x y z (fractional)
Bi 0.500 0.500 0.500
In 0.500 0.500 0.000
Zn 0.000 0.000 0.772
Zn 0.000 0.000 0.228